DFT (GGA+U) results for an optimized crystal structure of CrCoO.

Computed properties:
SG: I2_12_12_1
Energy above the most stable polymorph in this dataset, meV per atom: 339
Final energy, eV for the cell shown: -74.50

```
CrCoO
1.0
3.267 0.000 0.000
0.000 4.716 0.000
0.000 0.000 9.971
Cr Co O
4 4 4
Cartesian
0.000 1.179 1.215 Cr
0.000 3.537 3.771 Cr
1.633 1.179 8.756 Cr
1.633 3.537 6.200 Cr
0.000 1.179 5.910 Co
0.000 3.537 9.046 Co
1.633 1.179 4.061 Co
1.633 3.537 0.925 Co
0.687 2.358 7.478 O
0.947 2.358 2.493 O
2.320 0.000 2.493 O
2.580 0.000 7.478 O
```